A relaxed NaNd2Pt crystal. Source: Alexandria via LeMat-Bulk, functional PBE.

Computed properties:
ΔE_f (eV/f.u.): -1.802
Fermi-level density of states (states/eV/f.u.): 3.401
Spin magnetization (μB per cell): 0.0

abc: 3.611 3.611 9.446
angles: 90.00 90.00 90.00
Space group P4/mmm (No. 123)
Unique sites:
1 Na 0.000 0.000 0.000 x1
2 Nd 0.500 0.500 0.320 x2
3 Pt 0.000 0.000 0.500 x1